No. 1
Computed, not measured: a geometry-optimized MnReAs2 structure at the GGA-PBE level of DFT.

```
4
Lattice="-4.6855 -3.4301 2.6039 -4.2631 -4.3154 -1.9242 5.9867 2.1581 0.0328" Properties=species:S:1:pos:R:3 pbc="T T T"
As -1.1681 -2.2102 1.4565
As -8.5979 -7.4420 0.6530
Re -1.7682 -3.3551 -0.7460
Mn -4.8505 -4.1984 0.3684
```

The crystal system is orthorhombic. The value obtained for the distance to the lowest polymorph of the same formula is 34 meV per atom. The density of states at the Fermi level comes out at 2.439 states/eV/cell. Its energy of formation is 0.4 eV/f.u.


No. 2
Computed, not measured: a geometry-optimized Pm6ZnSn3 structure at the GGA-PBE level of DFT.

```
20
Lattice="-2.2418 -1.4102 6.7661 -6.9359 -5.3070 -3.4042 7.1955 -5.8950 1.1555" Properties=species:S:1:pos:R:3 pbc="T T T"
Zn -6.0991 -6.2657 1.4678
Pm -0.4179 -9.0153 2.5918
Sn -2.7992 -2.0850 2.1474
Pm -3.3945 -5.8326 -0.3773
Pm 1.4051 -6.7841 4.9161
Sn -2.0834 -6.7408 4.2980
Pm -0.8503 -3.1476 -0.2299
Pm -6.9764 -5.7381 -1.2613
Sn -0.2099 -6.0670 1.1578
Pm 2.4139 -4.0487 1.6378
Pm -4.3332 -4.5198 3.2055
Sn -2.6104 -10.2335 0.5115
Zn 4.7244 -5.9643 1.2155
Sn -0.2676 -2.9421 6.7089
Pm -4.2417 -8.4663 2.4132
Pm 4.8243 -6.9809 6.2911
Pm -0.5361 -3.9125 3.6162
Sn -0.0788 -11.0906 5.0731
Pm -0.7321 -8.2505 -1.2543
Pm 2.5053 -7.9953 0.8456
```

The crystal system is orthorhombic. The density of states at the Fermi level comes out at 22.728 states/eV/cell. Its energy of formation is -4.0 eV/f.u.


No. 3
Computed, not measured: a geometry-optimized BaSr2Cd2 structure at the GGA-PBE level of DFT.

```
5
Lattice="-4.9931 -1.3435 1.8654 2.2844 -3.3989 3.6667 -1.0224 2.9282 7.4716" Properties=species:S:1:pos:R:3 pbc="T T T"
Cd -2.4435 -0.5079 9.2921
Sr -3.6849 -0.3933 6.0515
Ba 0.0000 0.0000 0.0000
Cd -1.2877 -1.3064 3.7116
Sr -0.0462 -1.4210 6.9522
```

The crystal system is tetragonal. The value obtained for the distance to the lowest polymorph of the same formula is 87 meV per atom. The density of states at the Fermi level comes out at 7.666 states/eV/cell. Its energy of formation is -0.8 eV/f.u.


No. 4
Computed, not measured: a geometry-optimized DyLuPdRh structure at the GGA-PBE level of DFT.

```
4
Lattice="-0.5144 3.2517 -3.5623 -4.3870 0.8638 -1.8805 -2.2242 4.2214 0.8721" Properties=species:S:1:pos:R:3 pbc="T T T"
Dy -3.5628 4.1684 -2.2853
Pd -5.3442 6.2527 -3.4280
Lu 0.0000 0.0000 0.0000
Rh -1.7814 2.0842 -1.1427
```

The crystal system is cubic. The density of states at the Fermi level comes out at 1.611 states/eV/cell. Its energy of formation is -3.7 eV/f.u.


No. 5
Computed, not measured: a geometry-optimized LiTbP2Pd5 structure at the GGA-PBE level of DFT.

```
9
Lattice="4.1265 0.0000 0.0000 0.0000 4.1265 0.0000 0.0000 0.0000 8.7023" Properties=species:S:1:pos:R:3 pbc="T T T"
Pd 0.0000 2.0633 2.2378
Li 0.0000 0.0000 0.0000
Pd 0.0000 2.0633 6.4645
Tb 0.0000 0.0000 4.3511
Pd 2.0633 0.0000 2.2378
Pd 2.0633 0.0000 6.4645
P 2.0633 2.0633 1.0546
Pd 2.0633 2.0633 4.3511
P 2.0633 2.0633 7.6477
```

The crystal system is tetragonal. The density of states at the Fermi level comes out at 2.913 states/eV/cell. Its energy of formation is -6.9 eV/f.u.


No. 6
Computed, not measured: a geometry-optimized CaAuSe3 structure at the GGA-PBE level of DFT.

```
5
Lattice="-3.7548 -3.4276 0.6719 2.9009 -2.5107 3.4028 -1.9454 2.8716 3.7772" Properties=species:S:1:pos:R:3 pbc="T T T"
Ca -1.3996 -1.5333 3.9260
Se -1.8774 -1.7138 0.3360
Se 1.4504 -1.2554 1.7014
Se -0.9727 1.4358 1.8886
Au 0.0000 0.0000 0.0000
```

The crystal system is cubic. The value obtained for the energy relative to the elements, uncorrected is -0.34 eV per atom. The value obtained for the distance to the lowest polymorph of the same formula is 0 meV per atom. The density of states at the Fermi level comes out at 3.468 states/eV/cell.


No. 7
Computed, not measured: a geometry-optimized K2CaMn structure at the GGA-PBE level of DFT.

```
4
Lattice="7.3825 0.0061 0.0000 3.8742 6.2843 0.0000 -5.6283 -3.1452 3.5960" Properties=species:S:1:pos:R:3 pbc="T T T"
K 0.0000 0.0000 0.0000
Mn 1.9371 3.1421 1.7980
Ca 3.6913 0.0030 1.7980
K 5.6283 3.1452 0.0000
```

The crystal system is tetragonal. The value obtained for the distance to the lowest polymorph of the same formula is 176 meV per atom. The density of states at the Fermi level comes out at 3.605 states/eV/cell. Its energy of formation is 2.6 eV/f.u.


No. 8
Computed, not measured: a geometry-optimized SmGa2Pd2Pt structure at the GGA-PBE level of DFT.

```
6
Lattice="-1.4518 0.5349 -4.4717 -4.3322 -1.4496 1.2331 -1.4505 5.2721 1.1016" Properties=species:S:1:pos:R:3 pbc="T T T"
Sm -0.7253 2.6360 0.5508
Pd -3.2638 0.8941 -1.3369
Ga -0.7259 0.2675 -2.2358
Ga -2.1661 -0.7248 0.6166
Pt 0.0000 0.0000 0.0000
Pd -3.9707 3.4634 -0.8000
```

The crystal system is tetragonal. The density of states at the Fermi level comes out at 2.609 states/eV/cell. Its energy of formation is -3.1 eV/f.u.